Record 1
{"formula": "Sr2Ru3O10", "functional": "PBE-GGA", "state": "relaxed", "space_group": "No. 12", "e_above_lowest_polymorph_mev_per_atom": 11, "cell": [[5.724, -2.795, 0.000], [5.724, 2.795, 0.000], [-1.442, 0.000, 6.509]], "species": ["Sr", "Sr", "Ru", "Ru", "Ru", "O", "O", "O", "O", "O", "O", "O", "O", "O", "O"], "frac_coords": [[0.179, 0.179, 0.165], [0.821, 0.821, 0.835], [0.271, 0.729, 0.500], [0.500, 0.500, 0.000], [0.729, 0.271, 0.500], [0.110, 0.110, 0.532], [0.255, 0.742, 0.795], [0.258, 0.745, 0.205], [0.330, 0.330, 0.944], [0.366, 0.366, 0.444], [0.634, 0.634, 0.556], [0.670, 0.670, 0.056], [0.742, 0.255, 0.795], [0.745, 0.258, 0.205], [0.890, 0.890, 0.468]]}

=====

Record 2
{"formula": "Sr3Ru5O12", "functional": "PBE-GGA", "state": "relaxed", "space_group": "No. 230", "cell": [[-6.500, 6.500, 6.500], [6.500, -6.500, 6.500], [6.500, 6.500, -6.500]], "species": ["Sr", "Sr", "Sr", "Sr", "Sr", "Sr", "Sr", "Sr", "Sr", "Sr", "Sr", "Sr", "Ru", "Ru", "Ru", "Ru", "Ru", "Ru", "Ru", "Ru", "Ru", "Ru", "Ru", "Ru", "Ru", "Ru", "Ru", "Ru", "Ru", "Ru", "Ru", "Ru", "O", "O", "O", "O", "O", "O", "O", "O", "O", "O", "O", "O", "O", "O", "O", "O", "O", "O", "O", "O", "O", "O", "O", "O", "O", "O", "O", "O", "O", "O", "O", "O", "O", "O", "O", "O", "O", "O", "O", "O", "O", "O", "O", "O", "O", "O", "O", "O"], "frac_coords": [[0.125, 0.250, 0.375], [0.125, 0.375, 0.750], [0.250, 0.375, 0.125], [0.250, 0.875, 0.625], [0.375, 0.125, 0.250], [0.375, 0.750, 0.125], [0.625, 0.250, 0.875], [0.625, 0.875, 0.750], [0.750, 0.125, 0.375], [0.750, 0.625, 0.875], [0.875, 0.625, 0.250], [0.875, 0.750, 0.625], [0.000, 0.000, 0.000], [0.000, 0.000, 0.500], [0.000, 0.500, 0.000], [0.000, 0.500, 0.500], [0.125, 0.750, 0.875], [0.125, 0.875, 0.250], [0.250, 0.125, 0.875], [0.250, 0.625, 0.375], [0.375, 0.250, 0.625], [0.375, 0.625, 0.750], [0.500, 0.000, 0.000], [0.500, 0.000, 0.500], [0.500, 0.500, 0.000], [0.500, 0.500, 0.500], [0.625, 0.375, 0.250], [0.625, 0.750, 0.375], [0.750, 0.375, 0.625], [0.750, 0.875, 0.125], [0.875, 0.125, 0.750], [0.875, 0.250, 0.125], [0.017, 0.195, 0.114], [0.017, 0.322, 0.904], [0.082, 0.695, 0.678], [0.082, 0.886, 0.404], [0.096, 0.614, 0.418], [0.096, 0.983, 0.678], [0.114, 0.017, 0.195], [0.114, 0.596, 0.918], [0.178, 0.195, 0.582], [0.178, 0.483, 0.596], [0.195, 0.114, 0.017], [0.195, 0.582, 0.178], [0.305, 0.322, 0.918], [0.305, 0.483, 0.386], [0.322, 0.904, 0.017], [0.322, 0.918, 0.305], [0.386, 0.305, 0.483], [0.386, 0.582, 0.904], [0.404, 0.082, 0.886], [0.404, 0.822, 0.517], [0.418, 0.096, 0.614], [0.418, 0.822, 0.805], [0.483, 0.386, 0.305], [0.483, 0.596, 0.178], [0.517, 0.404, 0.822], [0.517, 0.614, 0.695], [0.582, 0.178, 0.195], [0.582, 0.904, 0.386], [0.596, 0.178, 0.483], [0.596, 0.918, 0.114], [0.614, 0.418, 0.096], [0.614, 0.695, 0.517], [0.678, 0.082, 0.695], [0.678, 0.096, 0.983], [0.695, 0.517, 0.614], [0.695, 0.678, 0.082], [0.805, 0.418, 0.822], [0.805, 0.886, 0.983], [0.822, 0.517, 0.404], [0.822, 0.805, 0.418], [0.886, 0.404, 0.082], [0.886, 0.983, 0.805], [0.904, 0.017, 0.322], [0.904, 0.386, 0.582], [0.918, 0.114, 0.596], [0.918, 0.305, 0.322], [0.983, 0.678, 0.096], [0.983, 0.805, 0.886]]}

=====

Record 3
{"formula": "SrRuO3", "functional": "PBE-GGA", "state": "relaxed", "space_group": "No. 38", "cell": [[3.231, 0.000, 0.000], [0.000, 6.598, 0.000], [0.000, 0.000, 9.919]], "species": ["Sr", "Sr", "Ru", "Ru", "O", "O", "O", "O", "O", "O"], "frac_coords": [[0.000, 0.000, 0.000], [0.000, 0.500, 0.500], [0.500, 0.000, 0.355], [0.500, 0.500, 0.855], [0.000, 0.184, 0.386], [0.000, 0.316, 0.886], [0.000, 0.684, 0.886], [0.000, 0.816, 0.386], [0.500, 0.000, 0.167], [0.500, 0.500, 0.667]]}

=====

Record 4
{"formula": "SrRuO3", "functional": "PBE-GGA", "state": "relaxed", "space_group": "No. 99", "cell": [[3.564, 0.000, 0.000], [0.000, 3.564, 0.000], [0.000, 0.000, 5.909]], "species": ["Sr", "Ru", "O", "O", "O"], "frac_coords": [[0.000, 0.000, 0.000], [0.500, 0.500, 0.421], [0.000, 0.000, 0.603], [0.000, 0.500, 0.263], [0.500, 0.000, 0.263]]}

=====

Record 5
{"formula": "SrRu3O8", "functional": "PBE-GGA", "state": "relaxed", "space_group": "No. 147", "cell": [[5.473, 0.000, 0.000], [-2.737, 4.740, 0.000], [0.000, 0.000, 6.098]], "species": ["Sr", "Ru", "Ru", "Ru", "O", "O", "O", "O", "O", "O", "O", "O"], "frac_coords": [[0.000, 0.000, 0.000], [0.000, 0.000, 0.500], [0.333, 0.667, 0.564], [0.667, 0.333, 0.436], [0.078, 0.365, 0.359], [0.287, 0.922, 0.359], [0.333, 0.667, 0.854], [0.365, 0.287, 0.641], [0.635, 0.713, 0.359], [0.667, 0.333, 0.146], [0.713, 0.078, 0.641], [0.922, 0.635, 0.641]]}

=====

Record 6
{"formula": "Sr3Ru2O7", "functional": "PBE-GGA", "state": "relaxed", "space_group": "No. 139", "e_above_lowest_polymorph_mev_per_atom": 13, "cell": [[-1.995, 1.995, 10.245], [1.995, -1.995, 10.245], [1.995, 1.995, -10.245]], "species": ["Sr", "Sr", "Sr", "Ru", "Ru", "O", "O", "O", "O", "O", "O", "O"], "frac_coords": [[0.000, 0.000, 0.000], [0.184, 0.184, 0.000], [0.816, 0.816, 0.000], [0.402, 0.402, 0.000], [0.598, 0.598, 0.000], [0.097, 0.597, 0.500], [0.304, 0.304, 0.000], [0.403, 0.903, 0.500], [0.500, 0.500, 0.000], [0.597, 0.097, 0.500], [0.696, 0.696, 0.000], [0.903, 0.403, 0.500]]}

=====

Q: Which raw formation energy values were calculated for the entries above? A: -21.67; -27.84; -6.73; -4.05; -12.54; -23.26, in eV/f.u..